No. 1
{
  "formula": "CaAg2F8",
  "functional": "PBE",
  "state": "optimized geometry",
  "raw_formation_energy_kj_per_mol_atoms": -172,
  "vol_a3_per_atom": 19.2,
  "total_magnetization_mub_per_cell": 0.0,
  "relative_energy_mev_per_atom": 39,
  "lattice_angstrom": [[9.3791, 0.0000, 4.1394], [4.8931, 4.3799, 1.6086], [0.8109, -1.6712, 10.8578]],
  "species": ["F", "F", "F", "F", "F", "F", "F", "F", "F", "F", "F", "F", "F", "F", "F", "F", "Ag", "Ag", "Ag", "Ag", "Ca", "Ca"],
  "fractional_positions": [[0.2993, 0.2795, 0.6081], [0.8921, 0.1481, 0.2540], [0.4767, 0.7003, 0.6585], [0.5233, 0.2997, 0.3415], [0.8356, 0.7997, 0.8415], [0.1471, 0.2032, 0.5059], [0.8132, 0.7795, 0.1081], [0.8562, 0.2968, 0.9941], [0.1644, 0.2003, 0.1585], [0.7007, 0.7205, 0.3919], [0.2942, 0.3519, 0.2460], [0.1868, 0.2205, 0.8919], [0.8529, 0.7968, 0.4941], [0.1438, 0.7032, 0.0059], [0.7058, 0.6481, 0.7540], [0.1079, 0.8519, 0.7460], [0.3155, 0.2875, 0.4208], [0.9761, 0.7875, 0.9208], [0.0239, 0.2125, 0.0792], [0.6845, 0.7125, 0.5792], [0.9429, 0.7500, 0.2500], [0.0571, 0.2500, 0.7500]]
}

***

No. 2
{
  "formula": "CaAg2F6",
  "functional": "PBE",
  "state": "optimized geometry",
  "raw_formation_energy_kj_per_mol_atoms": -191,
  "vol_a3_per_atom": 16.2,
  "total_magnetization_mub_per_cell": 4.0,
  "relative_energy_mev_per_atom": 62,
  "dos_at_fermi_per_ev_cell": 1.07,
  "lattice_angstrom": [[5.7227, -0.4368, 0.6605], [0.5641, 7.1033, 1.0730], [-0.6295, 0.6516, 7.1488]],
  "species": ["F", "F", "F", "F", "F", "F", "F", "F", "F", "F", "F", "F", "Ag", "Ag", "Ag", "Ag", "Ca", "Ca"],
  "fractional_positions": [[0.0059, 0.1224, 0.1167], [0.0135, 0.1735, 0.5622], [0.4865, 0.4378, 0.8265], [0.9865, 0.8265, 0.4378], [0.4849, 0.1810, 0.5509], [0.9849, 0.5509, 0.1810], [0.9941, 0.8776, 0.8833], [0.5151, 0.8190, 0.4491], [0.4941, 0.8833, 0.8776], [0.0151, 0.4491, 0.8190], [0.5059, 0.1167, 0.1224], [0.5135, 0.5622, 0.1735], [0.7503, 0.8742, 0.6481], [0.7497, 0.3519, 0.1258], [0.2503, 0.6481, 0.8742], [0.2497, 0.1258, 0.3519], [0.2500, 0.1878, 0.8122], [0.7500, 0.8122, 0.1878]]
}

***

No. 3
{
  "formula": "CaAgF2",
  "functional": "PBE",
  "state": "optimized geometry",
  "raw_formation_energy_kj_per_mol_atoms": -245,
  "vol_a3_per_atom": 21.8,
  "total_magnetization_mub_per_cell": 0.0,
  "relative_energy_mev_per_atom": 0,
  "dos_at_fermi_per_ev_cell": 0.39,
  "lattice_angstrom": [[3.2720, -1.2792, 7.9091], [6.0249, -1.9170, 5.9095], [5.2258, 1.3403, 6.7669]],
  "species": ["Ca", "F", "F", "Ag"],
  "fractional_positions": [[0.5000, 0.5000, 0.5000], [0.1258, 0.1258, 0.1258], [0.8742, 0.8742, 0.8742], [0.0000, 0.0000, 0.0000]]
}

***

No. 4
{
  "formula": "Ca3AgF",
  "functional": "PBE",
  "state": "optimized geometry",
  "raw_formation_energy_kj_per_mol_atoms": -45,
  "vol_a3_per_atom": 37.8,
  "total_magnetization_mub_per_cell": 0.0,
  "relative_energy_mev_per_atom": 628,
  "dos_at_fermi_per_ev_cell": 2.36,
  "lattice_angstrom": [[5.7401, 0.0000, 0.0000], [0.0000, 5.7401, 0.0000], [0.0000, 0.0000, 5.7401]],
  "species": ["Ca", "Ca", "Ca", "Ag", "F"],
  "fractional_positions": [[0.0000, 0.5000, 0.0000], [0.5000, 0.0000, 0.0000], [0.0000, 0.0000, 0.5000], [0.0000, 0.0000, 0.0000], [0.5000, 0.5000, 0.5000]]
}

***

No. 5
{
  "formula": "CaAgF2",
  "functional": "PBE",
  "state": "optimized geometry",
  "raw_formation_energy_kj_per_mol_atoms": -190,
  "vol_a3_per_atom": 15.7,
  "total_magnetization_mub_per_cell": 0.0,
  "relative_energy_mev_per_atom": 570,
  "dos_at_fermi_per_ev_cell": 2.30,
  "lattice_angstrom": [[0.0000, 3.1545, 3.1545], [3.1545, 0.0000, 3.1545], [3.1545, 3.1545, 0.0000]],
  "species": ["Ag", "F", "F", "Ca"],
  "fractional_positions": [[0.5000, 0.5000, 0.5000], [0.7500, 0.7500, 0.7500], [0.2500, 0.2500, 0.2500], [0.0000, 0.0000, 0.0000]]
}

***

No. 6
{
  "formula": "CaAg2F",
  "functional": "PBE",
  "state": "optimized geometry",
  "raw_formation_energy_kj_per_mol_atoms": -44,
  "vol_a3_per_atom": 20.9,
  "total_magnetization_mub_per_cell": 0.0,
  "relative_energy_mev_per_atom": 575,
  "dos_at_fermi_per_ev_cell": 3.45,
  "lattice_angstrom": [[-3.6553, -3.2577, -0.3780], [-1.9406, -1.9936, 4.0468], [-4.5409, 1.2302, 1.4083]],
  "species": ["F", "Ag", "Ag", "Ca"],
  "fractional_positions": [[0.0000, 0.0000, 0.0000], [0.2500, 0.2500, 0.2500], [0.7500, 0.7500, 0.7500], [0.5000, 0.5000, 0.5000]]
}

***

No. 7
{
  "formula": "CaAg4F7",
  "functional": "PBE",
  "state": "optimized geometry",
  "raw_formation_energy_kj_per_mol_atoms": -165,
  "vol_a3_per_atom": 16.6,
  "total_magnetization_mub_per_cell": 0.7,
  "dos_at_fermi_per_ev_cell": 2.70,
  "lattice_angstrom": [[3.9107, -0.0533, -2.1098], [-0.7331, 4.9999, -4.0328], [-0.3732, 0.6078, 9.8835]],
  "species": ["Ca", "F", "F", "F", "F", "F", "F", "F", "Ag", "Ag", "Ag", "Ag"],
  "fractional_positions": [[0.0000, 0.0000, 0.0000], [0.8205, 0.5862, 0.7480], [0.1795, 0.4138, 0.2520], [0.5000, 0.0000, 0.0000], [0.8762, 0.8033, 0.5117], [0.6969, 0.1623, 0.8237], [0.1238, 0.1967, 0.4884], [0.3031, 0.8377, 0.1763], [0.4386, 0.5148, 0.8469], [0.5614, 0.4852, 0.1531], [0.3906, 0.8075, 0.5269], [0.6094, 0.1925, 0.4731]]
}

***

No. 8
{
  "formula": "Ca2GaAgF",
  "functional": "PBE",
  "state": "optimized geometry",
  "raw_formation_energy_kj_per_mol_atoms": -57,
  "vol_a3_per_atom": 31.1,
  "total_magnetization_mub_per_cell": 0.0,
  "dos_at_fermi_per_ev_cell": 2.23,
  "lattice_angstrom": [[-3.2443, -3.6316, -3.0642], [3.8497, -1.6118, -2.1657], [0.6223, -4.0031, 4.0855]],
  "species": ["Ca", "Ca", "Ga", "F", "Ag"],
  "fractional_positions": [[0.5000, 0.0000, 0.0000], [0.0000, 0.0000, 0.5000], [0.0000, 0.5000, 0.0000], [0.5000, 0.5000, 0.5000], [0.0000, 0.0000, 0.0000]]
}

***

No. 9
{
  "formula": "CaGaAg2F6",
  "functional": "PBE",
  "state": "optimized geometry",
  "raw_formation_energy_kj_per_mol_atoms": -213,
  "vol_a3_per_atom": 14.8,
  "total_magnetization_mub_per_cell": 0.0,
  "dos_at_fermi_per_ev_cell": 3.63,
  "lattice_angstrom": [[5.9549, 0.0000, -0.0285], [0.0000, 5.9614, 0.0000], [0.0102, 0.0000, 8.3541]],
  "species": ["F", "F", "F", "F", "F", "F", "F", "F", "F", "F", "F", "F", "Ca", "Ca", "Ga", "Ga", "Ag", "Ag", "Ag", "Ag"],
  "fractional_positions": [[0.5672, 0.0017, 0.2712], [0.2681, 0.2268, 0.4650], [0.2319, 0.7268, 0.0350], [0.7319, 0.7732, 0.5350], [0.2771, 0.7643, 0.4648], [0.2229, 0.2643, 0.0352], [0.0672, 0.4983, 0.7712], [0.9328, 0.5017, 0.2288], [0.7771, 0.7357, 0.9648], [0.7229, 0.2357, 0.5352], [0.4328, 0.9983, 0.7288], [0.7681, 0.2732, 0.9650], [0.5000, 0.0000, 0.0000], [0.0000, 0.5000, 0.5000], [0.5000, 0.0000, 0.5000], [0.0000, 0.5000, 0.0000], [0.4947, 0.4975, 0.2488], [0.9947, 0.0025, 0.7488], [0.5053, 0.5025, 0.7512], [0.0053, 0.9975, 0.2512]]
}